Compound: Li7Mn2Co3O12
Source: Alexandria via LeMat-Bulk
Functional: PBE with a Hubbard U
Structure: relaxed

- DOS at the Fermi energy (states/eV/f.u.) = 0.955
- E above lowest polymorph (eV/atom) = 0.066

Cell lengths 2.9210, 5.0730, 15.2347 Å; angles 97.22, 94.24, 104.44 degrees
Closest atoms and distances in Å follow each position.
Positions (direct):
1 Li 0.0000 0.0000 0.0000  6 O 2.10-2.26
2 Li 0.0011 0.5359 0.4800  5 O 2.04-2.21
3 Li 0.3226 0.8415 0.8282  5 O 2.05-2.20
4 Li 0.3797 0.3497 0.3329  4 O 2.01-2.20
5 Li 0.6100 0.6588 0.6442  4 O 1.96-2.19
6 Li 0.6677 0.1684 0.1619  5 O 2.01-2.16
7 Li 0.6691 0.9273 0.4045  6 O 2.05-2.20
8 Mn 0.6510 0.4153 0.9146  4 O 1.93-2.04
9 Mn 0.9649 0.2444 0.7417  6 O 1.87-2.02
10 Co 0.0135 0.7586 0.2453  6 O 1.78-1.99
11 Co 0.3179 0.0992 0.5560  3 O 1.77-1.98
12 Co 0.3511 0.5925 0.0796  5 O 1.90-2.12
13 O 0.0135 0.6369 0.3499  1 Co 1.78
14 O 0.0353 0.8580 0.1233  3 Co 1.90-2.12, 2 Li 2.10
15 O 0.3414 0.9931 0.7084  2 Mn 1.93, 1 Li 2.07
16 O 0.3435 0.2355 0.4542  1 Co 1.77
17 O 0.3506 0.6966 0.9585  1 Mn 1.93, 1 Co 1.98, 2 Li 2.11-2.12
18 O 0.3781 0.5065 0.1989  3 Co 1.92-1.99, 1 Li 2.13
19 O 0.6031 0.5052 0.7880  3 Mn 1.98-2.04, 1 Li 2.11
20 O 0.6490 0.0047 0.2756  2 Co 1.87-1.95, 2 Li 2.01-2.05
21 O 0.6496 0.3106 0.0360  1 Co 1.93, 1 Mn 1.99, 3 Li 2.12-2.13
22 O 0.6875 0.8267 0.5352  3 Li 1.96-2.12, 2 Co 1.96-1.98
23 O 0.9501 0.1369 0.8651  2 Mn 1.94-2.02, 2 Li 2.05-2.11
24 O 0.9720 0.3602 0.6296  1 Mn 1.87, 2 Li 2.05-2.06